Below is crystalline LaYGaGe at its relaxed geometry, with properties calculated at the GGA-PBE level.

a b c (Å): 5.199 5.199 5.199
angles (deg): 60.00 60.00 60.00
Atoms (fractional coordinates):
La 0.000 0.000 0.000
Y 0.500 0.500 0.500
Ga 0.750 0.750 0.750
Ge 0.250 0.250 0.250

Excess energy over the best structure of this formula in the dataset, meV per atom: 158
Raw total energy, eV/f.u.: -21.47
SG: F-43m
DOS at the Fermi energy, states/eV per cell: 1.84
Formation enthalpy at 0 K, eV per atom: -0.61